No. 1
First-principles (PBE) data for a relaxed structure of Nb5Pd4Pt, as listed in the Alexandria database.

Lattice parameters (Å, degrees): 2.8266 2.8266 20.6274 90.00 90.00 90.00
Fractional coordinates of all 10 atoms:
Nb1 0.5000 0.5000 0.6999
Nb2 0.5000 0.5000 0.3001
Nb3 0.5000 0.5000 0.9002
Nb4 0.5000 0.5000 0.0998
Nb5 0.5000 0.5000 0.5000
Pd1 0.0000 0.0000 0.1998
Pd2 0.0000 0.0000 0.5999
Pd3 0.0000 0.0000 0.8002
Pd4 0.0000 0.0000 0.4001
Pt1 0.0000 0.0000 0.0000

## Properties
D(E_F) (states/eV/atom): 0.605
ΔH_f (0 K) (eV per atom): -0.382



No. 2
First-principles (PBE) data for a relaxed structure of CaHg2Pd2, as listed in the Alexandria database.

Lattice parameters (Å, degrees): 7.5351 7.5351 3.6465 90.00 90.00 90.00
Fractional coordinates of all 10 atoms:
Hg1 0.6621 0.8379 0.5000
Hg2 0.1621 0.6621 0.5000
Hg3 0.8379 0.3379 0.5000
Hg4 0.3379 0.1621 0.5000
Pd1 0.3659 0.8659 0.0000
Pd2 0.1341 0.3659 0.0000
Pd3 0.6341 0.1341 0.0000
Pd4 0.8659 0.6341 0.0000
Ca1 0.5000 0.5000 0.0000
Ca2 0.0000 0.0000 0.0000

## Properties
D(E_F) (states/eV/atom): 0.410
Offset from the most stable computed form (eV per atom): 0.0024
ΔH_f (0 K) (eV per atom): -0.407



No. 3
First-principles (PBE) data for a relaxed structure of Nd4Te5O, as listed in the Alexandria database.

Lattice parameters (Å, degrees): 4.0463 8.1339 10.9836 111.77 100.61 90.00
Fractional coordinates of all 10 atoms:
Te1 0.1575 0.9041 0.3149
Te2 0.8426 0.5894 0.6852
Te3 0.1574 0.4106 0.3148
Te4 0.8425 0.0959 0.6851
Te5 0.5000 0.5000 0.0000
O1 0.5000 0.0000 0.0000
Nd1 0.0001 0.7942 0.0001
Nd2 0.7198 0.2198 0.4395
Nd3 0.2802 0.7802 0.5605
Nd4 0.9999 0.2058 0.9999

## Properties
D(E_F) (states/eV/atom): 0.199
Raw formation energy (eV per atom): -1.512



No. 4
First-principles (PBE) data for a relaxed structure of SrMnNbV2, as listed in the Alexandria database.

Lattice parameters (Å, degrees): 4.4784 5.1811 4.4784 90.00 90.00 90.00
Each line ends with the local moment (μB).
Fractional coordinates of all 5 atoms:
V1 0.5000 0.0000 0.0000  -1.79
V2 0.0000 0.0000 0.5000  -1.19
Nb1 0.5000 0.5000 0.5000  1.86
Sr1 0.0000 0.5000 0.0000  0.09
Mn1 0.0000 0.0000 0.0000  1.29

## Properties
D(E_F) (states/eV/atom): 1.217
ΔH_f (0 K) (eV per atom): 1.333



No. 5
First-principles (PBE) data for a relaxed structure of TcSb2OsC, as listed in the Alexandria database.

Lattice parameters (Å, degrees): 5.0449 4.9731 5.0449 90.00 90.00 90.00
Each line ends with the local moment (μB).
Fractional coordinates of all 5 atoms:
Tc1 0.0000 0.5000 0.0000  2.60
Sb1 0.5000 0.0000 0.0000  0.04
Sb2 0.0000 0.0000 0.5000  0.07
Os1 0.0000 0.0000 0.0000  0.04
C1 0.5000 0.5000 0.5000  -0.71

## Properties
D(E_F) (states/eV/atom): 0.950
Raw formation energy (eV per atom): 2.318



No. 6
First-principles (PBE) data for a relaxed structure of Sm4TmPa3P8, as listed in the Alexandria database.

Lattice parameters (Å, degrees): 8.0458 8.0669 8.0452 119.92 120.00 90.00
Fractional coordinates of all 16 atoms:
Tm1 0.0000 0.5000 0.0000
P1 0.2465 0.7370 0.9906
P2 0.2559 0.2630 0.0094
P3 0.7441 0.7370 0.9906
P4 0.2465 0.7371 0.4930
P5 0.7463 0.7390 0.4927
P6 0.7535 0.2629 0.5070
P7 0.7535 0.2630 0.0094
P8 0.2537 0.2610 0.5073
Sm1 0.5000 0.0000 0.0000
Sm2 0.5000 0.0000 0.5000
Sm3 0.0000 0.0000 0.5000
Sm4 0.0000 0.0000 0.0000
Pa1 0.0000 0.5000 0.5000
Pa2 0.5000 0.5000 0.5000
Pa3 0.5000 0.5000 0.0000

## Properties
D(E_F) (states/eV/atom): 0.766
ΔH_f (0 K) (eV per atom): -1.485



No. 7
First-principles (PBE) data for a relaxed structure of SnTe2S, as listed in the Alexandria database.

Lattice parameters (Å, degrees): 8.9303 8.9303 8.9303 28.19 28.19 28.19
Fractional coordinates of all 4 atoms:
S1 0.0000 0.0000 0.0000
Te1 0.0978 0.0978 0.0978
Te2 0.9022 0.9022 0.9022
Sn1 0.5000 0.5000 0.5000

## Properties
D(E_F) (states/eV/atom): 0.799
Raw formation energy (eV per atom): 0.150



No. 8
First-principles (PBE) data for a relaxed structure of BaLiInPb, as listed in the Alexandria database.

Lattice parameters (Å, degrees): 5.6371 5.6371 5.6371 60.00 60.00 60.00
Fractional coordinates of all 4 atoms:
In1 0.2500 0.2500 0.2500
Pb1 0.7500 0.7500 0.7500
Ba1 0.5000 0.5000 0.5000
Li1 0.0000 0.0000 0.0000

## Properties
D(E_F) (states/eV/atom): 0.326
ΔH_f (0 K) (eV per atom): -0.301



No. 9
First-principles (PBE) data for a relaxed structure of AgI3O, as listed in the Alexandria database.

Lattice parameters (Å, degrees): 5.6076 5.6076 5.6076 90.00 90.00 90.00
Fractional coordinates of all 5 atoms:
I1 0.0000 0.0000 0.5000
I2 0.0000 0.5000 0.0000
I3 0.5000 0.0000 0.0000
Ag1 0.0000 0.0000 0.0000
O1 0.5000 0.5000 0.5000

## Properties
D(E_F) (states/eV/atom): 3.189
Offset from the most stable computed form (eV per atom): 0.4748
Raw formation energy (eV per atom): 0.913



No. 10
First-principles (PBE) data for a relaxed structure of LiN2F6, as listed in the Alexandria database.

Lattice parameters (Å, degrees): 5.6782 8.3877 8.3877 105.74 69.75 69.75
Each line ends with the local moment (μB).
Fractional coordinates of all 18 atoms:
F1 0.2872 0.5043 0.9528  0.04
F2 0.9009 0.1730 0.0555  -0.01
F3 0.0991 0.8270 0.9445  -0.01
F4 0.9533 0.6746 0.4912  0.04
F5 0.4533 0.4912 0.6746  0.04
F6 0.5991 0.9445 0.8270  -0.01
F7 0.4009 0.0555 0.1730  -0.01
F8 0.0467 0.3254 0.5088  0.04
F9 0.7872 0.9528 0.5043  0.04
F10 0.7128 0.4957 0.0472  0.04
F11 0.2128 0.0472 0.4957  0.04
F12 0.5467 0.5088 0.3254  0.04
Li1 0.7500 0.0105 0.9895  0.01
Li2 0.2500 0.9895 0.0105  0.01
N1 0.3004 0.1660 0.4414  0.33
N2 0.1996 0.5586 0.8340  0.33
N3 0.6996 0.8340 0.5586  0.33
N4 0.8004 0.4414 0.1660  0.33

## Properties
D(E_F) (states/eV/atom): 0.183
Raw formation energy (eV per atom): -0.730



No. 11
First-principles (PBE) data for a relaxed structure of NdZn9Pd3, as listed in the Alexandria database.

Lattice parameters (Å, degrees): 5.3254 6.8158 6.9504 81.15 67.47 66.33
Fractional coordinates of all 13 atoms:
Zn1 0.4962 0.2182 0.7797
Zn2 0.9924 0.3474 0.6467
Zn3 0.0000 0.5000 0.0000
Zn4 0.2759 0.2182 0.2203
Zn5 0.6391 0.3474 0.3533
Zn6 0.7241 0.7818 0.7797
Zn7 0.0076 0.6526 0.3533
Zn8 0.5038 0.7818 0.2203
Zn9 0.3609 0.6526 0.6467
Pd1 0.5000 0.5000 0.0000
Pd2 0.5000 0.0000 0.5000
Pd3 0.0000 0.0000 0.5000
Nd1 0.0000 0.0000 0.0000

## Properties
D(E_F) (states/eV/atom): 0.436
ΔH_f (0 K) (eV per atom): -0.385



No. 12
First-principles (PBE) data for a relaxed structure of SrSi, as listed in the Alexandria database.

Lattice parameters (Å, degrees): 11.3658 11.3658 11.3658 155.59 110.72 74.67
Fractional coordinates of all 20 atoms:
Si1 0.1916 0.3710 0.8206
Si2 0.2234 0.5679 0.6554
Si3 0.8084 0.6290 0.1794
Si4 0.5504 0.3710 0.1794
Si5 0.8577 0.3577 0.5000
Si6 0.4496 0.6290 0.8206
Si7 0.9125 0.5679 0.3446
Si8 0.0875 0.4321 0.6554
Si9 0.1423 0.6423 0.5000
Si10 0.7766 0.4321 0.3446
Sr1 0.3297 0.8297 0.5000
Sr2 0.7074 0.0000 0.7074
Sr3 0.5000 0.5000 0.0000
Sr4 0.6703 0.1703 0.5000
Sr5 0.6457 0.8119 0.8338
Sr6 0.0000 0.0000 0.0000
Sr7 0.9781 0.8119 0.1662
Sr8 0.3543 0.1881 0.1662
Sr9 0.2926 0.0000 0.2926
Sr10 0.0219 0.1881 0.8338

## Properties
D(E_F) (states/eV/atom): 0.310
Raw formation energy (eV per atom): -0.425



No. 13
First-principles (PBE) data for a relaxed structure of DyTi2Tc, as listed in the Alexandria database.

Lattice parameters (Å, degrees): 3.1842 3.1842 7.6166 90.00 90.00 90.00
Fractional coordinates of all 4 atoms:
Dy1 0.5000 0.5000 0.5000
Ti1 0.0000 0.0000 0.8136
Ti2 0.0000 0.0000 0.1864
Tc1 0.5000 0.5000 0.0000

## Properties
D(E_F) (states/eV/atom): 1.282
ΔH_f (0 K) (eV per atom): -0.137



No. 14
First-principles (PBE) data for a relaxed structure of La3Ge7Ru2, as listed in the Alexandria database.

Lattice parameters (Å, degrees): 4.5407 4.9859 11.8445 105.12 90.00 90.00
Fractional coordinates of all 12 atoms:
La1 0.5000 0.7032 0.3735
La2 0.5000 0.2968 0.6265
La3 0.5000 0.5000 0.0000
Ge1 0.0000 0.0000 0.0000
Ge2 0.5000 0.1111 0.1788
Ge3 0.0000 0.8153 0.1996
Ge4 0.5000 0.8889 0.8212
Ge5 0.0000 0.2563 0.4125
Ge6 0.0000 0.1847 0.8004
Ge7 0.0000 0.7437 0.5875
Ru1 0.0000 0.3333 0.2008
Ru2 0.0000 0.6667 0.7992

## Properties
D(E_F) (states/eV/atom): 0.397
ΔH_f (0 K) (eV per atom): -0.513



No. 15
First-principles (PBE) data for a relaxed structure of Ta4TcPb, as listed in the Alexandria database.

Lattice parameters (Å, degrees): 5.4540 5.4540 5.4540 60.00 60.00 60.00
Fractional coordinates of all 6 atoms:
Tc1 0.7500 0.7500 0.7500
Ta1 0.3749 0.3749 0.3749
Ta2 0.3749 0.3749 0.8752
Ta3 0.3749 0.8752 0.3749
Ta4 0.8752 0.3749 0.3749
Pb1 0.0000 0.0000 0.0000

## Properties
D(E_F) (states/eV/atom): 0.861
ΔH_f (0 K) (eV per atom): 0.492



No. 16
First-principles (PBE) data for a relaxed structure of Tb12ZrTl3, as listed in the Alexandria database.

Lattice parameters (Å, degrees): 4.8509 4.8509 19.7422 90.00 90.00 90.00
Fractional coordinates of all 16 atoms:
Tb1 0.5000 0.5000 0.0000
Tb2 0.5000 0.0000 0.8765
Tb3 0.5000 0.0000 0.3752
Tb4 0.5000 0.5000 0.7487
Tb5 0.0000 0.5000 0.6248
Tb6 0.5000 0.0000 0.6248
Tb7 0.0000 0.5000 0.3752
Tb8 0.0000 0.5000 0.8765
Tb9 0.0000 0.5000 0.1235
Tb10 0.5000 0.5000 0.2513
Tb11 0.5000 0.0000 0.1235
Tb12 0.5000 0.5000 0.5000
Tl1 0.0000 0.0000 0.2538
Tl2 0.0000 0.0000 0.7462
Tl3 0.0000 0.0000 0.5000
Zr1 0.0000 0.0000 0.0000

## Properties
D(E_F) (states/eV/atom): 1.194
ΔH_f (0 K) (eV per atom): -0.122



No. 17
First-principles (PBE) data for a relaxed structure of SbTe2PdCl, as listed in the Alexandria database.

Lattice parameters (Å, degrees): 5.4365 5.4365 5.1612 90.00 90.00 90.00
Fractional coordinates of all 5 atoms:
Cl1 0.0000 0.0000 0.0000
Te1 0.5000 0.0000 0.0000
Te2 0.0000 0.5000 0.0000
Sb1 0.0000 0.0000 0.5000
Pd1 0.5000 0.5000 0.5000

## Properties
D(E_F) (states/eV/atom): 1.743
Offset from the most stable computed form (eV per atom): 0.6966
Raw formation energy (eV per atom): 0.979



No. 18
First-principles (PBE) data for a relaxed structure of Ba2CrCd, as listed in the Alexandria database.

Lattice parameters (Å, degrees): 4.0181 4.0181 9.4183 90.00 90.00 90.00
Each line ends with the local moment (μB).
Fractional coordinates of all 4 atoms:
Cd1 0.0000 0.0000 0.5638  -0.01
Ba1 0.5000 0.5000 0.3226  0.00
Ba2 0.0000 0.0000 0.9297  0.01
Cr1 0.5000 0.5000 0.6839  3.95

## Properties
D(E_F) (states/eV/atom): 0.867
ΔH_f (0 K) (eV per atom): 0.289



No. 19
First-principles (PBE) data for a relaxed structure of Dy12TlPd6, as listed in the Alexandria database.

Lattice parameters (Å, degrees): 8.6947 8.6947 8.6947 108.77 108.77 108.77
Fractional coordinates of all 19 atoms:
Pd1 0.2176 0.6470 0.2903
Pd2 0.6470 0.2903 0.2176
Pd3 0.7824 0.3530 0.7097
Pd4 0.2903 0.2176 0.6470
Pd5 0.3530 0.7097 0.7824
Pd6 0.7097 0.7824 0.3530
Dy1 0.5538 0.8520 0.6157
Dy2 0.6744 0.9667 0.1404
Dy3 0.8596 0.3256 0.0333
Dy4 0.3843 0.4462 0.1480
Dy5 0.4462 0.1480 0.3843
Dy6 0.1404 0.6744 0.9667
Dy7 0.1480 0.3843 0.4462
Dy8 0.9667 0.1404 0.6744
Dy9 0.6157 0.5538 0.8520
Dy10 0.0333 0.8596 0.3256
Dy11 0.8520 0.6157 0.5538
Dy12 0.3256 0.0333 0.8596
Tl1 0.0000 0.0000 0.0000

## Properties
D(E_F) (states/eV/atom): 0.867
Offset from the most stable computed form (eV per atom): 0.1165
ΔH_f (0 K) (eV per atom): -0.493



No. 20
First-principles (PBE) data for a relaxed structure of CaCd4In2, as listed in the Alexandria database.

Lattice parameters (Å, degrees): 4.5311 4.5842 8.9256 104.88 90.00 90.00
Fractional coordinates of all 7 atoms:
Cd1 0.5000 0.1858 0.3717
Cd2 0.5000 0.8142 0.6283
Cd3 0.0000 0.3102 0.6204
Cd4 0.0000 0.6898 0.3796
Ca1 0.0000 0.0000 0.0000
In1 0.5000 0.4184 0.8369
In2 0.5000 0.5816 0.1631

## Properties
D(E_F) (states/eV/atom): 0.408
Offset from the most stable computed form (eV per atom): 0.0000
ΔH_f (0 K) (eV per atom): -0.138